! CrNi6O8 PBE with a Hubbard U relaxed; values from VASP
&SYSTEM
  ibrav = 0, nat = 15, ntyp = 3
/
ATOMIC_SPECIES
Cr 52.00 Cr.upf
Ni 58.69 Ni.upf
O 16.00 O.upf
CELL_PARAMETERS angstrom
-5.500 2.620 -2.518
1.305 -2.030 -4.831
-3.051 -2.880 3.411
ATOMIC_POSITIONS crystal
Cr 0.500 0.000 0.000
Ni 0.804 0.626 0.001
Ni 0.804 0.000 0.624
Ni 0.804 0.374 0.375
Ni 0.196 0.374 0.999
Ni 0.196 0.000 0.376
Ni 0.196 0.626 0.625
O 0.687 0.000 0.286
O 0.679 0.715 0.717
O 0.679 0.285 0.002
O 0.313 0.000 0.714
O 0.321 0.285 0.283
O 0.321 0.715 0.998
O 0.000 0.336 0.668
O 0.000 0.664 0.332
! crystal system: monoclinic
! final energy: -5.12 eV/atom